1.
The following is a GGA-PBE calculation of crystalline Fe3CoPb at its relaxed geometry, from Alexandria via LeMat-Bulk.

a b c (Å): 4.4285 4.4285 4.4285
angles (deg): 90.00 90.00 90.00
Element x y z (fractional)
Fe1 0.0000 0.0000 0.5000
Fe2 0.0000 0.5000 0.0000
Fe3 0.5000 0.0000 0.0000
Co1 0.0000 0.0000 0.0000
Pb1 0.5000 0.5000 0.5000

Results
The density of states at the Fermi level comes out at 5.01 states/eV/f.u. The value obtained for the density is 8.29 g cm⁻³. For the formation energy, the calculation gives 0.78 eV/atom. The calculation puts the total magnetization at 10.27 μB per cell.

2.
The following is a GGA-PBE calculation of crystalline NaCd2Ga at its relaxed geometry, from Alexandria via LeMat-Bulk.

a b c (Å): 3.7481 3.7481 6.5377
angles (deg): 90.00 90.00 90.00
Element x y z (fractional)
Na1 0.0000 0.0000 0.0000
Cd1 0.5000 0.5000 0.2650
Cd2 0.5000 0.5000 0.7350
Ga1 0.0000 0.0000 0.5000

Results
The density of states at the Fermi level comes out at 1.52 states/eV/f.u. The value obtained for the density is 5.74 g cm⁻³. For the formation energy, the calculation gives -0.02 eV/atom. The calculation puts the total magnetization at 0.00 μB per cell.

3.
The following is a GGA-PBE calculation of crystalline Ti2BeB3 at its relaxed geometry, from Alexandria via LeMat-Bulk.

a b c (Å): 3.1257 3.2039 5.4660
angles (deg): 90.00 90.00 90.00
Element x y z (fractional)
Ti1 0.0000 0.0000 0.0000
Ti2 0.5000 0.0000 0.4875
Be1 0.0000 0.5000 0.6613
B1 0.0000 0.5000 0.3179
B2 0.5000 0.5000 0.1595
B3 0.5000 0.5000 0.8409

Results
The density of states at the Fermi level comes out at 0.91 states/eV/f.u. The value obtained for the density is 4.16 g cm⁻³. For the formation energy, the calculation gives -0.81 eV/atom. The calculation puts the total magnetization at 0.00 μB per cell.

4.
The following is a GGA-PBE calculation of crystalline NaThHg6 at its relaxed geometry, from Alexandria via LeMat-Bulk.

a b c (Å): 5.1363 6.7482 6.7482
angles (deg): 59.95 90.00 90.00
Element x y z (fractional)
Na1 0.0000 0.0000 0.0000
Th1 0.5000 0.6656 0.6656
Hg1 0.0000 0.0053 0.4968
Hg2 0.0000 0.4959 0.4959
Hg3 0.0000 0.4968 0.0053
Hg4 0.5000 0.1675 0.6629
Hg5 0.5000 0.1693 0.1693
Hg6 0.5000 0.6629 0.1675

Results
The density of states at the Fermi level comes out at 6.04 states/eV/f.u. The value obtained for the density is 11.96 g cm⁻³. For the formation energy, the calculation gives -0.19 eV/atom. The calculation puts the total magnetization at 0.00 μB per cell.

Q: What is the total magnetization in the first record?
A: 10.27 μB per cell

Q: Number 4 is which compound?
A: NaThHg6

Q: The highest density belongs to which entry?
A: NaThHg6